This record from Alexandria via LeMat-Bulk describes La6Nd8Al after structural relaxation. The functional is PBE.

Cell: 6.592 9.629 9.629 Å, 120.00 90.00 90.00°
Atoms (fractional coordinates):
Nd 0.193 0.260 0.217
Nd 0.193 0.956 0.740
Nd 0.807 0.044 0.260
Nd 0.153 0.667 0.333
Nd 0.847 0.333 0.667
Nd 0.807 0.217 0.956
Nd 0.193 0.783 0.044
Nd 0.807 0.740 0.783
La 0.322 0.357 0.908
La 0.678 0.908 0.551
La 0.322 0.551 0.643
La 0.322 0.092 0.449
La 0.678 0.449 0.357
La 0.678 0.643 0.092
Al 0.500 0.000 0.000

Output
Calculated density   6.32 g cm⁻³
Raw total energy   -70.5 eV per formula unit
Formation enthalpy at 0 K   0.06 eV/atom